[1]
Ir5Rh3: relaxed, GGA-PBE.

The energy above the most stable polymorph in this dataset comes out at 0.19 eV/f.u. The value obtained for the density of states at the Fermi level is 10.12 states/eV per cell. The value obtained for the energy relative to the elements is 1.1 kJ per mole of atoms. As for the total energy: -0.3044 hartree per atom.

Geometry as extended XYZ:
```
8
Lattice="-4.149 3.360 -1.213 -2.495 -1.406 4.666 1.792 2.871 1.823" Properties=species:S:1:pos:R:3 pbc="T T T"
Ir -2.011 1.217 4.113
Rh -0.759 1.922 1.772
Ir -2.841 3.608 1.163
Rh -3.322 0.977 1.726
Ir -1.247 -0.703 2.333
Ir -2.074 1.680 -0.607
Rh -4.092 2.903 3.504
Ir 0.000 0.000 0.000
```

[2]
Ir3Rh: relaxed, GGA-PBE.

The value obtained for the density of states at the Fermi level is 3.57 states/eV per cell. The value obtained for the energy relative to the elements is -0.9 kJ per mole of atoms. As for the total energy: -0.3121 hartree per atom.

Geometry as extended XYZ:
```
4
Lattice="-2.227 -0.089 1.587 0.527 -2.619 0.593 4.231 2.223 6.060" Properties=species:S:1:pos:R:3 pbc="T T T"
Ir 2.123 1.115 3.041
Ir 4.224 2.219 6.050
Rh 0.208 -0.798 2.605
Ir 2.323 0.313 5.635
```

[3]
Ir3Rh: relaxed, GGA-PBE.

The value obtained for the density of states at the Fermi level is 4.05 states/eV per cell. The value obtained for the energy relative to the elements is -0.8 kJ per mole of atoms. As for the total energy: -0.3121 hartree per atom.

Geometry as extended XYZ:
```
4
Lattice="-4.103 2.323 -0.422 -0.621 -4.551 -1.147 -0.594 -0.576 2.608" Properties=species:S:1:pos:R:3 pbc="T T T"
Ir 0.000 0.000 0.000
Rh -2.362 -1.114 -0.784
Ir -2.349 0.873 1.093
Ir -0.608 -2.564 0.730
```

[4]
Ir5Rh6: relaxed, GGA-PBE.

The value obtained for the density of states at the Fermi level is 12.15 states/eV per cell. The value obtained for the energy relative to the elements is 13.7 kJ per mole of atoms. As for the total energy: -0.2902 hartree per atom.

Geometry as extended XYZ:
```
11
Lattice="0.494 2.934 -2.413 4.906 -1.388 -6.767 -7.058 -0.992 0.390" Properties=species:S:1:pos:R:3 pbc="T T T"
Ir -0.349 -0.343 -6.571
Rh 0.081 1.336 -4.443
Rh -3.999 1.435 -2.117
Ir 2.700 0.773 -4.590
Rh 1.321 0.416 -2.267
Rh 4.079 1.131 -6.912
Ir 0.889 -1.267 -4.400
Ir -3.041 -1.113 -1.976
Rh 2.341 -0.880 -6.672
Rh -1.738 -0.782 -4.346
Ir -1.309 0.897 -2.218
```

[5]
Ir3Rh: relaxed, GGA-PBE.

The value obtained for the density of states at the Fermi level is 4.30 states/eV per cell. The value obtained for the energy relative to the elements is -0.8 kJ per mole of atoms. As for the total energy: -0.3121 hartree per atom.

Geometry as extended XYZ:
```
4
Lattice="3.865 0.000 0.000 0.000 3.865 0.000 -1.932 -1.932 3.865" Properties=species:S:1:pos:R:3 pbc="T T T"
Ir 1.932 0.000 1.932
Ir 0.000 1.932 1.932
Ir 1.932 1.932 0.000
Rh 0.000 0.000 0.000
```

[6]
IrRh: relaxed, GGA-PBE.

The value obtained for the density of states at the Fermi level is 3.79 states/eV per cell. The value obtained for the energy relative to the elements is 110.1 kJ per mole of atoms. As for the total energy: -0.2560 hartree per atom.

Geometry as extended XYZ:
```
2
Lattice="1.584 1.692 3.170 -0.169 3.899 0.435 -2.319 1.569 2.753" Properties=species:S:1:pos:R:3 pbc="T T T"
Ir 0.000 0.000 0.000
Rh -0.679 5.370 4.769
```

[7]
Ir4Rh5: relaxed, GGA-PBE.

The energy above the most stable polymorph in this dataset comes out at 0.00 eV/f.u. The value obtained for the density of states at the Fermi level is 7.53 states/eV per cell. The value obtained for the energy relative to the elements is -1.4 kJ per mole of atoms. As for the total energy: -0.2954 hartree per atom.

Geometry as extended XYZ:
```
9
Lattice="-7.393 3.476 0.215 -3.096 -6.329 -4.141 -5.621 -2.330 -0.300" Properties=species:S:1:pos:R:3 pbc="T T T"
Rh -5.964 0.215 -1.234
Rh -4.525 -3.068 -2.692
Rh 0.000 0.000 0.000
Rh -3.488 -0.949 -1.306
Ir -4.909 2.308 0.143
Ir -2.484 1.168 0.072
Ir -2.056 -4.202 -2.749
Rh -7.001 -1.904 -2.620
Ir -1.040 -2.127 -1.392
```

[8]
IrRh: relaxed, GGA-PBE.

The value obtained for the density of states at the Fermi level is 6.35 states/eV per cell. The value obtained for the energy relative to the elements is 111.1 kJ per mole of atoms. As for the total energy: -0.2556 hartree per atom.

Geometry as extended XYZ:
```
4
Lattice="-1.320 -0.758 -3.726 3.480 -1.579 1.262 -2.970 -4.907 2.051" Properties=species:S:1:pos:R:3 pbc="T T T"
Rh -2.224 -5.168 -0.335
Ir -0.430 -2.205 -1.573
Ir -0.315 -4.932 1.115
Rh 0.862 -2.988 0.303
```

[9]
IrRh: relaxed, GGA-PBE.

The value obtained for the density of states at the Fermi level is 5.16 states/eV per cell. The value obtained for the energy relative to the elements is 72.6 kJ per mole of atoms. As for the total energy: -0.2702 hartree per atom.

Geometry as extended XYZ:
```
4
Lattice="-1.005 3.659 0.473 -0.570 -2.520 2.820 4.857 1.082 1.948" Properties=species:S:1:pos:R:3 pbc="T T T"
Rh 2.428 0.541 0.974
Ir 2.783 2.411 2.716
Ir 0.499 -0.189 2.525
Rh 0.000 0.000 0.000
```

[10]
Ir3Rh: relaxed, GGA-PBE.

The value obtained for the density of states at the Fermi level is 4.45 states/eV per cell. The value obtained for the energy relative to the elements is -0.2 kJ per mole of atoms. As for the total energy: -0.3118 hartree per atom.

Geometry as extended XYZ:
```
4
Lattice="3.864 0.000 0.000 0.000 3.864 0.000 0.000 0.000 3.864" Properties=species:S:1:pos:R:3 pbc="T T T"
Ir 0.000 1.932 1.932
Rh 0.000 0.000 0.000
Ir 1.932 1.932 0.000
Ir 1.932 0.000 1.932
```

[11]
Ir4Rh5: relaxed, GGA-PBE.

The energy above the most stable polymorph in this dataset comes out at 2.61 eV/f.u. The value obtained for the density of states at the Fermi level is 35.09 states/eV per cell. The value obtained for the energy relative to the elements is 26.5 kJ per mole of atoms. As for the total energy: -0.2847 hartree per atom.

Geometry as extended XYZ:
```
18
Lattice="-4.522 2.871 -0.146 -2.707 -3.965 5.845 3.972 6.318 1.231" Properties=species:S:1:pos:R:3 pbc="T T T"
Rh -0.707 1.505 2.330
Rh 1.746 2.890 2.769
Ir -5.200 -0.496 3.796
Rh -0.480 -0.537 4.307
Rh -2.063 4.267 0.302
Rh 1.513 4.923 0.783
Rh -4.297 0.827 1.845
Rh -2.932 -1.921 3.853
Ir 0.000 0.000 0.000
Rh -2.549 3.720 4.599
Ir -0.285 2.291 4.692
Ir -2.028 -0.597 1.902
Ir -2.261 1.436 -0.073
Ir 0.187 2.814 0.372
Ir -0.737 6.376 0.713
Ir -2.972 2.934 2.238
Rh -2.741 0.899 4.234
Rh -0.515 4.326 2.696
```

[12]
Ir5Rh: relaxed, GGA-PBE.

The value obtained for the density of states at the Fermi level is 6.39 states/eV per cell. The value obtained for the energy relative to the elements is 4.6 kJ per mole of atoms. As for the total energy: -0.3146 hartree per atom.

Geometry as extended XYZ:
```
6
Lattice="5.238 0.007 0.008 4.520 2.645 0.008 -8.120 -2.207 6.292" Properties=species:S:1:pos:R:3 pbc="T T T"
Ir 1.186 0.322 2.455
Ir -4.771 -1.297 4.536
Ir -2.161 -0.587 4.208
Rh 7.129 1.938 0.359
Ir 9.734 2.646 0.017
Ir 3.815 1.037 2.113
```